1.
DyScAl2Ni4: relaxed, GGA-PBE.

a b c (Å): 4.1143 4.1143 8.4286
angles (deg): 90.00 90.00 120.00
Fractional positions:
Al: 0.6667 0.3333 0.2644
Al: 0.6667 0.3333 0.7356
Dy: 0.3333 0.6667 0.0000
Ni: 0.0000 0.0000 0.1901
Ni: 0.3333 0.6667 0.3362
Ni: 0.3333 0.6667 0.6638
Ni: 0.0000 0.0000 0.8099
Sc: 0.0000 0.0000 0.5000

- E: -5.681 eV per atom

***

2.
SmDyAlNi2: relaxed, GGA-PBE.

a b c (Å): 5.4204 5.4204 5.4204
angles (deg): 134.36 119.93 78.58
Fractional positions:
Al: 0.0002 0.0002 0.0000
Dy: 0.2967 0.7967 0.5000
Ni: 0.7335 0.4999 0.2337
Ni: 0.2662 0.4999 0.7663
Sm: 0.7034 0.2034 0.5000

- E: -5.355 eV per atom

***

3.
SmDy2Al3Ni3: relaxed, GGA-PBE.

a b c (Å): 3.8568 7.0369 7.0369
angles (deg): 119.69 90.00 90.00
Fractional positions:
Al: 0.5000 0.9960 0.2338
Al: 0.5000 0.7685 0.7685
Al: 0.5000 0.2338 0.9960
Dy: 0.0000 0.9997 0.5818
Dy: 0.0000 0.5818 0.9997
Ni: 0.5000 0.6706 0.3314
Ni: 0.5000 0.3314 0.6706
Ni: 0.0000 0.9983 0.9983
Sm: 0.0000 0.4200 0.4200

- E: -5.239 eV per atom

***

4.
TbDyAl2Ni4: relaxed, GGA-PBE.

a b c (Å): 4.1418 4.1418 8.9295
angles (deg): 90.00 90.00 120.00
Fractional positions:
Al: 0.0000 0.0000 0.2487
Al: 0.0000 0.0000 0.7513
Dy: 0.6667 0.3333 0.0000
Ni: 0.3333 0.6667 0.1872
Ni: 0.6667 0.3333 0.3102
Ni: 0.6667 0.3333 0.6898
Ni: 0.3333 0.6667 0.8128
Tb: 0.3333 0.6667 0.5000

- E: -5.461 eV per atom

***

5.
DyTm2Al3Ni3: relaxed, GGA-PBE.

a b c (Å): 3.9210 6.8503 6.8503
angles (deg): 120.01 90.00 90.00
Fractional positions:
Al: 0.5000 0.7634 0.0010
Al: 0.5000 0.2366 0.2366
Al: 0.5000 0.0010 0.7634
Dy: 0.0000 0.5835 0.5835
Ni: 0.0000 0.0030 0.0030
Ni: 0.5000 0.6678 0.3305
Ni: 0.5000 0.3305 0.6678
Tm: 0.0000 0.9995 0.4147
Tm: 0.0000 0.4147 0.9995

- E: -5.234 eV per atom

***

6.
DyTmAl4Ni2: relaxed, GGA-PBE.

a b c (Å): 6.8535 5.4507 5.4507
angles (deg): 43.52 90.00 90.00
Fractional positions:
Al: 0.3044 0.1566 0.1566
Al: 0.6956 0.1566 0.1566
Al: 0.1953 0.8434 0.8434
Al: 0.8047 0.8434 0.8434
Dy: 0.5000 0.4386 0.4386
Ni: 0.0000 0.2843 0.2843
Ni: 0.5000 0.7158 0.7158
Tm: 0.0000 0.5614 0.5614

- E: -5.046 eV per atom

***

7.
DyTmAlNi2: relaxed, GGA-PBE.

a b c (Å): 5.3435 5.3435 5.3435
angles (deg): 134.24 119.82 78.76
Fractional positions:
Al: 0.0000 0.0000 0.0000
Dy: 0.2957 0.7957 0.5000
Ni: 0.7332 0.5000 0.2332
Ni: 0.2668 0.5000 0.7668
Tm: 0.7043 0.2043 0.5000

- E: -5.362 eV per atom

***

8.
Dy2YAl3Ni3: relaxed, GGA-PBE.

a b c (Å): 3.9559 6.9246 6.9246
angles (deg): 120.23 90.00 90.00
Fractional positions:
Al: 0.5000 0.2356 0.2356
Al: 0.5000 0.9995 0.7646
Al: 0.5000 0.7646 0.9995
Dy: 0.0000 0.4158 0.0000
Dy: 0.0000 0.0000 0.4158
Ni: 0.0000 0.0018 0.0018
Ni: 0.5000 0.6676 0.3312
Ni: 0.5000 0.3312 0.6676
Y: 0.0000 0.5838 0.5838

- E: -5.453 eV per atom

***

9.
DyYAl4Ni2: relaxed, GGA-PBE.

a b c (Å): 6.8778 5.4815 5.4815
angles (deg): 43.45 90.00 90.00
Fractional positions:
Al: 0.1954 0.1567 0.1567
Al: 0.8046 0.1567 0.1567
Al: 0.3046 0.8433 0.8433
Al: 0.6954 0.8433 0.8433
Dy: 0.0000 0.4386 0.4386
Ni: 0.5000 0.2842 0.2842
Ni: 0.0000 0.7158 0.7158
Y: 0.5000 0.5614 0.5614

- E: -5.295 eV per atom

***

10.
Dy2AlO4: relaxed, GGA-PBE.

a b c (Å): 6.3743 6.3743 6.3743
angles (deg): 120.00 90.01 120.00
Fractional positions:
Al: 0.0000 0.0000 0.0000
Al: 0.7500 0.5000 0.2500
Dy: 0.3750 0.7500 0.1250
Dy: 0.3750 0.2500 0.6250
Dy: 0.8750 0.2500 0.6250
Dy: 0.3750 0.7500 0.6250
O: 0.1155 0.2310 0.3465
O: 0.6345 0.7310 0.3655
O: 0.6345 0.2690 0.3655
O: 0.0965 0.7310 0.3655
O: 0.1155 0.2310 0.8845
O: 0.6535 0.7690 0.8845
O: 0.1155 0.7690 0.8845
O: 0.6345 0.2690 0.9035

- E: -7.731 eV per atom